Entry 1:
A plane-wave DFT calculation with PBE was carried out for a relaxed structure of Ba2Tl2SnHg4. Values from VASP.

```
&SYSTEM
  ibrav = 0, nat = 9, ntyp = 4
/
ATOMIC_SPECIES
Ba 137.33 Ba.upf
Tl 204.38 Tl.upf
Sn 118.71 Sn.upf
Hg 200.59 Hg.upf
ATOMIC_POSITIONS crystal
Ba 0.5000 0.7500 0.2500
Ba 0.5000 0.2500 0.7500
Tl 0.0000 0.7045 0.7045
Tl 0.0000 0.2955 0.2955
Sn 0.0000 0.0000 0.0000
Hg 0.0000 0.7186 0.2814
Hg 0.4372 0.7186 0.7186
Hg 0.0000 0.2814 0.7186
Hg 0.5628 0.2814 0.2814
CELL_PARAMETERS angstrom
7.4220 -0.4068 -0.6418
-3.3538 6.6335 0.6418
-3.3538 -2.2511 6.2727
```

Calculated values
The crystal system is tetragonal. Its space group is I4/mmm. For the formation energy, the calculation gives -302 meV/atom.



Entry 2:
A plane-wave DFT calculation with PBE was carried out for a relaxed structure of ZrIn4. Values from VASP.

```
&SYSTEM
  ibrav = 0, nat = 5, ntyp = 2
/
ATOMIC_SPECIES
In 114.82 In.upf
Zr 91.22 Zr.upf
ATOMIC_POSITIONS crystal
In 0.7953 0.3890 0.1843
In 0.3890 0.2047 0.5936
In 0.2047 0.6110 0.8157
In 0.6110 0.7953 0.4064
Zr 0.0000 0.0000 0.0000
CELL_PARAMETERS angstrom
-2.7450 -4.3077 -2.5613
2.2170 1.0172 5.1674
-4.3817 3.6559 0.2943
```

Calculated values
The crystal system is tetragonal. Its space group is I4/m. For the formation energy, the calculation gives -68 meV/atom.



Entry 3:
A plane-wave DFT calculation with PBE was carried out for a relaxed structure of Hf2NbTl. Values from VASP.

```
&SYSTEM
  ibrav = 0, nat = 4, ntyp = 3
/
ATOMIC_SPECIES
Hf 178.49 Hf.upf
Nb 92.91 Nb.upf
Tl 204.38 Tl.upf
ATOMIC_POSITIONS crystal
Hf 0.0782 0.0782 0.7654
Hf 0.2551 0.2551 0.2348
Nb 0.6669 0.6669 0.9993
Tl 0.4998 0.4998 0.5005
CELL_PARAMETERS angstrom
-0.2926 0.8043 -3.1067
-2.3433 -1.3027 -1.7878
-6.9002 7.2516 0.8560
```

Calculated values
The crystal system is trigonal. Its space group is R3m. For the formation energy, the calculation gives 145 meV/atom.



Entry 4:
A plane-wave DFT calculation with PBE was carried out for a relaxed structure of Pr4Dy3. Values from VASP.

```
&SYSTEM
  ibrav = 0, nat = 7, ntyp = 2
/
ATOMIC_SPECIES
Pr 140.91 Pr.upf
Dy 162.50 Dy.upf
ATOMIC_POSITIONS crystal
Pr 0.8614 0.5805 0.7228
Pr 0.1386 0.4195 0.2772
Pr 0.7136 0.1387 0.4272
Pr 0.2864 0.8613 0.5728
Dy 0.0000 0.0000 0.0000
Dy 0.5671 0.7109 0.1342
Dy 0.4329 0.2891 0.8658
CELL_PARAMETERS angstrom
5.7020 0.0000 -1.8935
-0.8187 8.8844 -2.4654
-1.3573 -0.8847 5.4448
```

Calculated values
The crystal system is monoclinic. Its space group is C2/m. For the formation energy, the calculation gives 106 meV/atom.



Entry 5:
A plane-wave DFT calculation with PBE was carried out for a relaxed structure of Tl2PdRu. Values from VASP.

```
&SYSTEM
  ibrav = 0, nat = 8, ntyp = 3
/
ATOMIC_SPECIES
Ru 101.07 Ru.upf
Tl 204.38 Tl.upf
Pd 106.42 Pd.upf
ATOMIC_POSITIONS crystal
Ru 0.5000 0.5000 0.0000
Ru 0.2500 0.7500 0.5000
Tl 0.6214 0.1250 0.2500
Tl 0.1286 0.6250 0.2500
Tl 0.3750 0.3786 0.7500
Tl 0.8750 0.8714 0.7500
Pd 0.0000 0.0000 0.0000
Pd 0.7500 0.2500 0.5000
CELL_PARAMETERS angstrom
-1.8586 3.5406 1.5558
-2.4715 0.2403 -3.4993
-8.6937 -3.4031 3.2759
```

Calculated values
The crystal system is tetragonal. Its space group is I-42d. For the formation energy, the calculation gives 623 meV/atom.



Entry 6:
A plane-wave DFT calculation with PBE was carried out for a relaxed structure of Pr4Y3Tm3. Values from VASP.

```
&SYSTEM
  ibrav = 0, nat = 10, ntyp = 3
/
ATOMIC_SPECIES
Pr 140.91 Pr.upf
Y 88.91 Y.upf
Tm 168.93 Tm.upf
ATOMIC_POSITIONS crystal
Pr 0.0000 0.6320 0.3680
Pr 0.0000 0.3699 0.6301
Pr 0.0000 0.8663 0.8690
Pr 0.0000 0.1310 0.1337
Y 0.0000 0.5007 0.0007
Y 0.0000 0.9993 0.4993
Y 0.5000 0.1678 0.8322
Tm 0.5000 0.8323 0.1677
Tm 0.5000 0.3329 0.3322
Tm 0.5000 0.6678 0.6671
CELL_PARAMETERS angstrom
3.8272 0.0000 0.0000
0.0000 9.3403 -0.0377
0.0000 0.0445 9.3402
```

Calculated values
The crystal system is orthorhombic. Its space group is Amm2. For the formation energy, the calculation gives 97 meV/atom.



Entry 7:
A plane-wave DFT calculation with PBE was carried out for a relaxed structure of BaY2Sb2. Values from VASP.

```
&SYSTEM
  ibrav = 0, nat = 5, ntyp = 3
/
ATOMIC_SPECIES
Y 88.91 Y.upf
Sb 121.76 Sb.upf
Ba 137.33 Ba.upf
ATOMIC_POSITIONS crystal
Y 0.3317 0.3317 0.3366
Y 0.6683 0.6683 0.6634
Sb 0.7500 0.2500 0.5000
Sb 0.2500 0.7500 0.5000
Ba 0.0000 0.0000 0.0000
CELL_PARAMETERS angstrom
-2.4062 -5.2534 -0.3878
0.9454 -0.0113 -5.7136
4.3276 -5.0112 -2.2090
```

Calculated values
The crystal system is tetragonal. For the uncorrected formation energy, the calculation gives -343 kJ/mol of formula units. Its space group is I4/mmm.



Entry 8:
A plane-wave DFT calculation with PBE was carried out for a relaxed structure of Mg2H3Ru. Values from VASP.

```
&SYSTEM
  ibrav = 0, nat = 12, ntyp = 3
/
ATOMIC_SPECIES
Mg 24.30 Mg.upf
H 1.01 H.upf
Ru 101.07 Ru.upf
ATOMIC_POSITIONS crystal
Mg 0.6593 0.5837 0.3309
Mg 0.6716 0.0837 0.3309
Mg 0.3284 0.9163 0.6691
Mg 0.3407 0.4163 0.6691
H 0.4398 0.2500 0.0000
H 0.5602 0.7500 0.0000
H 0.1234 0.0573 0.2325
H 0.8909 0.4427 0.7675
H 0.1091 0.5573 0.2325
H 0.8766 0.9427 0.7675
Ru 0.9549 0.7500 0.0000
Ru 0.0451 0.2500 0.0000
CELL_PARAMETERS angstrom
4.2893 0.0000 0.0000
0.0000 6.1491 0.0083
-2.1447 -1.5332 4.4043
```

Calculated values
The crystal system is monoclinic. For the final energy, the calculation gives -3.884 eV per atom. Its space group is C2/c.